5
Lattice="5.323 0.000 0.000 0.000 5.323 0.000 0.000 0.000 5.323" Properties=species:S:1:pos:R:3 comment="PBE In3AsPd, relaxed" de_polymorph_mev_per_atom=438 m_tot_mub_per_fu=0.0 pbc="T T T"
In 0.000 0.000 2.661
In 0.000 2.661 0.000
In 2.661 0.000 0.000
As 0.000 0.000 0.000
Pd 2.661 2.661 2.661